(1)
A plane-wave DFT calculation with PBE was carried out for an optimized crystal structure of LaSc2BOs.

Results
As for the total energy: -5.106 eV per atom. As for the space group: P4/mmm (123). The calculation puts the density of states at the Fermi level at 4.159 states/eV per cell. The formation energy comes out at 1993 meV/atom.

Cell lengths 5.173, 5.173, 4.184 Å; angles 90.00, 90.00, 90.00 degrees
Fractional positions:
La (0.000, 0.000, 0.000)
Sc (0.000, 0.500, 0.000)
Sc (0.500, 0.000, 0.000)
B (0.000, 0.000, 0.500)
Os (0.500, 0.500, 0.500)

(2)
A plane-wave DFT calculation with PBE was carried out for an optimized crystal structure of YMg2Fe.

Results
As for the total energy: -4.184 eV per atom. As for the space group: Cmmm (65). The calculation puts the density of states at the Fermi level at 3.383 states/eV per cell. The formation energy comes out at 345 meV/atom.

Cell lengths 5.582, 5.582, 3.119 Å; angles 90.00, 90.00, 116.64 degrees
Fractional positions:
Y (0.000, 0.000, 0.000)
Mg (0.000, 0.500, 0.500)
Mg (0.500, 0.000, 0.500)
Fe (0.500, 0.500, 0.000)

Copy entry 2 word for word.
A plane-wave DFT calculation with PBE was carried out for an optimized crystal structure of YMg2Fe.

Results
As for the total energy: -4.184 eV per atom. As for the space group: Cmmm (65). The calculation puts the density of states at the Fermi level at 3.383 states/eV per cell. The formation energy comes out at 345 meV/atom.

Cell lengths 5.582, 5.582, 3.119 Å; angles 90.00, 90.00, 116.64 degrees
Fractional positions:
Y (0.000, 0.000, 0.000)
Mg (0.000, 0.500, 0.500)
Mg (0.500, 0.000, 0.500)
Fe (0.500, 0.500, 0.000)

> What is the total energy in the first record?

-5.106 eV per atom